Y2PPt: optimized geometry, PBE-GGA.

Summary:
The calculated formation energy is -1.27 eV per atom.

Lattice parameters (Å, degrees): 7.1650 7.1650 7.1650 32.46 32.46 32.46
Sites, in units of the cell vectors:
Y 0.2469 0.2469 0.2469
Y 0.7531 0.7531 0.7531
P 0.5000 0.5000 0.5000
Pt 0.0000 0.0000 0.0000